VASP calculation (PBE) on a relaxed structure of PmGa3Hg.

Structure (POSCAR):
```
PmGa3Hg
1.0
2.173 -12.053 0.000
2.173 12.053 0.000
0.000 0.000 4.285
Pm Ga Hg
2 6 2
direct
0.173 0.827 0.000
0.827 0.173 0.000
0.052 0.948 0.500
0.274 0.726 0.500
0.449 0.551 0.000
0.551 0.449 0.000
0.726 0.274 0.500
0.948 0.052 0.500
0.381 0.619 0.500
0.619 0.381 0.500
```

total magnetic moment = 0.00 μB per atom
ΔH_f (0 K) = -313 meV per atom
raw total energy = -3.140 eV per atom